(1)
NaPd2C | the Alexandria database | PBEsol | relaxed; N(E_F) = 3.7 states/eV/cell; energy of formation = 440 meV/atom
1.0
-5.070 1.066 1.548
-1.656 -4.638 -2.231
4.268 -0.829 5.107
Na C Pd
2 2 4
Cartesian
0.000 0.000 0.000 Na
-0.376 -3.627 1.267 Na
-3.363 -1.786 -0.341 C
-2.082 -0.774 3.156 C
-0.589 -1.695 3.961 Pd
1.946 -2.228 3.187 Pd
-3.551 -3.599 0.292 Pd
-2.723 -1.280 1.407 Pd


(2)
LiSi2Tc | the Alexandria database | PBEsol | relaxed; N(E_F) = 2.8 states/eV/cell; relative energy among the computed polymorphs = 0.000 eV/atom; raw formation energy = -0.27 eV per atom
1.0
3.768 0.000 0.000
0.000 3.768 0.000
-1.884 -1.884 3.516
Si Tc Li
2 1 1
Cartesian
1.884 0.000 1.758 Si
0.000 1.884 1.758 Si
1.884 1.884 0.000 Tc
0.000 0.000 0.000 Li


(3)
InOs2Cl | the Alexandria database | PBEsol | relaxed; N(E_F) = 3.5 states/eV/cell; relative energy among the computed polymorphs = 0.020 eV/atom; raw formation energy = 0.83 eV per atom
1.0
2.905 0.000 0.000
1.452 2.516 0.000
1.452 0.839 8.435
Cl Os In
1 2 1
Cartesian
2.905 1.677 4.218 Cl
1.452 0.839 2.235 Os
4.357 2.516 6.201 Os
0.000 0.000 0.000 In


(4)
LiTi3SbP6O24 | the Alexandria database | PBEsol | relaxed; N(E_F) = 0.0 states/eV/cell; raw formation energy = -2.39 eV per atom
1.0
8.583 0.000 0.000
4.292 7.433 0.000
4.292 2.478 7.071
Li Ti Sb P O
1 3 1 6 24
Cartesian
4.292 2.478 6.889 Li
4.292 2.478 4.036 Ti
8.583 4.955 6.448 Ti
8.583 4.955 0.657 Ti
12.875 7.433 3.030 Sb
6.767 7.469 5.367 P
7.314 2.125 5.367 P
11.669 5.272 5.367 P
5.494 4.611 1.744 P
9.829 7.803 1.744 P
10.426 2.452 1.744 P
2.710 2.298 0.511 O
4.927 3.937 0.511 O
7.685 8.705 5.331 O
5.238 1.197 0.511 O
7.619 6.204 5.394 O
5.971 7.366 4.024 O
5.785 2.303 5.331 O
7.984 3.496 5.394 O
10.146 5.167 5.394 O
5.083 3.876 3.030 O
4.886 6.064 1.720 O
5.107 1.093 3.030 O
7.802 1.488 4.024 O
12.279 3.858 5.331 O
11.977 6.012 4.024 O
7.015 4.734 1.724 O
9.176 6.425 1.724 O
11.392 7.603 1.720 O
2.685 2.464 3.030 O
9.559 3.708 1.724 O
11.953 8.694 6.563 O
9.471 1.200 1.720 O
12.244 6.004 6.563 O
14.428 7.601 6.563 O


(5)
TaSbTe2Mo | the Alexandria database | PBEsol | relaxed; N(E_F) = 3.2 states/eV/cell; raw formation energy = 1.19 eV per atom
1.0
5.286 0.000 0.000
0.000 5.286 0.000
0.000 0.000 5.330
Sb Mo Te Ta
1 1 2 1
Cartesian
0.000 0.000 2.665 Sb
2.643 2.643 2.665 Mo
0.000 2.643 0.000 Te
2.643 0.000 0.000 Te
0.000 0.000 0.000 Ta


(6)
YIn2Rh | the Alexandria database | PBEsol | relaxed; N(E_F) = 2.7 states/eV/cell; energy of formation = -422 meV/atom
1.0
-2.223 2.387 0.856
-3.025 -1.532 -3.588
0.417 -3.643 4.600
In Rh Y
2 1 1
Cartesian
-3.882 -1.404 0.476 In
-0.950 -1.383 1.391 In
-1.112 1.194 0.428 Rh
-1.513 -0.766 -1.794 Y


(7)
CoSbPt2 | the Alexandria database | PBEsol | relaxed; N(E_F) = 4.8 states/eV/cell; raw formation energy = -0.02 eV per atom
1.0
-0.582 -3.583 1.146
4.039 -0.635 0.068
-1.607 3.282 3.122
Co Pt Sb
1 2 1
Cartesian
2.076 0.227 1.766 Co
0.000 0.001 0.002 Pt
-0.227 -1.178 2.524 Pt
1.730 -2.095 0.651 Sb


(8)
Ca2AuN | the Alexandria database | PBEsol | relaxed; raw formation energy = -0.60 eV per atom
1.0
6.147 0.067 0.105
-2.419 5.651 -0.105
-2.419 -2.497 5.071
Ca Au N
4 2 2
Cartesian
4.011 2.794 0.673 Ca
-1.493 -0.361 3.156 Ca
-1.481 3.003 3.951 Ca
1.580 1.007 2.361 Ca
0.654 3.647 1.241 Au
0.000 0.000 0.000 Au
0.654 -0.427 3.829 N
-2.419 1.577 2.483 N


(9)
Sc4Te3N2 | the Alexandria database | PBEsol | relaxed; raw formation energy = -1.50 eV per atom
1.0
-5.025 -2.595 3.696
-0.165 -8.504 -6.195
7.431 -4.965 6.618
Sc Te N
16 12 8
Cartesian
3.436 -5.886 5.741 Sc
0.882 -9.297 6.050 Sc
-1.196 -10.178 -1.622 Sc
1.358 -6.768 -1.931 Sc
4.613 -9.374 1.803 Sc
2.054 -13.015 1.943 Sc
-2.372 -6.690 2.316 Sc
0.186 -3.049 2.176 Sc
2.163 -11.298 -1.218 Sc
3.153 -11.789 5.959 Sc
-3.365 -2.466 2.271 Sc
2.530 -6.576 1.226 Sc
0.078 -4.766 5.337 Sc
-0.913 -4.276 -1.840 Sc
5.605 -13.599 1.848 Sc
-0.290 -9.488 2.893 Sc
4.909 -11.460 -0.095 Te
2.438 -10.578 3.341 Te
-2.668 -4.604 4.214 Te
-0.198 -5.486 0.778 Te
1.031 -8.962 0.179 Te
-4.201 -9.704 -1.280 Te
3.905 -8.903 6.340 Te
3.747 -4.559 2.999 Te
1.210 -7.102 3.940 Te
6.442 -6.360 5.399 Te
-1.664 -7.162 -2.221 Te
-1.506 -11.505 1.120 Te
0.479 -3.081 4.162 N
-3.976 -7.335 1.293 N
3.622 -14.227 1.614 N
4.356 -7.486 1.169 N
1.761 -12.984 -0.043 N
6.216 -8.729 2.826 N
-1.382 -1.838 2.505 N
-2.115 -8.579 2.950 N


(10)
CdNi | the Alexandria database | PBEsol | relaxed; N(E_F) = 1.1 states/eV/cell; energy of formation = 476 meV/atom
1.0
-3.088 1.178 1.431
-0.557 -0.266 3.548
-0.021 2.963 2.047
Cd Ni
1 1
Cartesian
0.000 0.000 0.000 Cd
-1.833 1.938 3.513 Ni